A plane-wave DFT calculation with PBE was carried out for a relaxed structure of Ir2Os.

a = 5.0898 Å, b = 5.0898 Å, c = 8.2893 Å
α = 90.00°, β = 90.00°, γ = 120.00°
Space group P6_3/mmc (No. 194)
Symmetry-distinct sites (fractional):
Ir 0.0000 0.0000 0.0000
Ir 0.1704 0.3408 0.2500
Os 0.3333 0.6667 0.5902

Output
energy above the lowest structure with this stoichiometry	0.697	eV per atom
energy of formation from the pure elements	0.6945	eV per atom